Record 1
Crystalline Ca3TcO6 at its relaxed geometry, computed with PBE-GGA.

**N(E_F)**: 9.143 states/eV/cell
**Crystal system**: monoclinic
**V**: 13.10 Å³ per atom
**E_tot**: -70.08 eV/f.u.

Lattice parameters (Å, degrees): 5.5606 5.8567 9.7763 90.00 124.60 90.00
Space group P2_1/c (No. 14)
One atom of each set of equivalent atoms:
Ca: 0.0000 0.0000 0.0000
Ca: 0.2614 0.0603 0.7439
Tc: 0.5000 0.0000 0.5000
O: 0.1588 0.0523 0.2745
O: 0.2683 0.6772 0.0518
O: 0.4028 0.2243 0.0715

=====

Record 2
Crystalline CaTcO5 at its relaxed geometry, computed with PBE-GGA.

**N(E_F)**: 0.045 states/eV/cell
**Crystal system**: monoclinic
**V**: 21.78 Å³ per atom
**E_tot**: -48.53 eV/f.u.

Lattice parameters (Å, degrees): 8.7741 8.9598 8.9075 90.00 119.42 90.00
Space group C2/c (No. 15)
One atom of each set of equivalent atoms:
Ca: 0.0000 0.0000 0.0000
Tc: 0.0000 0.3711 0.2500
O: 0.0000 0.0593 0.7500
O: 0.0036 0.2577 0.4099
O: 0.1869 0.4824 0.3381

=====

Record 3
Crystalline Ca4Tc6O19 at its relaxed geometry, computed with PBE-GGA.

**N(E_F)**: 21.663 states/eV/cell
**Crystal system**: cubic
**V**: 13.39 Å³ per atom
**E_tot**: -217.00 eV/f.u.

Lattice parameters (Å, degrees): 9.1919 9.1919 9.1919 90.00 90.00 90.00
Space group I23 (No. 197)
One atom of each set of equivalent atoms:
Ca: 0.1426 0.1426 0.1426
Tc: 0.0000 0.1706 0.5000
O: 0.0000 0.0000 0.0000
O: 0.0000 0.0000 0.3703
O: 0.0214 0.2841 0.3264

=====

- Which of these has the lowest N(E_F)?
  CaTcO5

=====

What did the second record say?
Crystalline CaTcO5 at its relaxed geometry, computed with PBE-GGA.

**N(E_F)**: 0.045 states/eV/cell
**Crystal system**: monoclinic
**V**: 21.78 Å³ per atom
**E_tot**: -48.53 eV/f.u.

Lattice parameters (Å, degrees): 8.7741 8.9598 8.9075 90.00 119.42 90.00
Space group C2/c (No. 15)
One atom of each set of equivalent atoms:
Ca: 0.0000 0.0000 0.0000
Tc: 0.0000 0.3711 0.2500
O: 0.0000 0.0593 0.7500
O: 0.0036 0.2577 0.4099
O: 0.1869 0.4824 0.3381